Computed, not measured: a relaxed K3NiO3 crystal at the PBE with a Hubbard U level of DFT.

Cell lengths 11.1313, 11.1313, 4.2484 Å; angles 90.00, 90.00, 120.00 degrees
Last column: nearest neighbours and their distance in Å.
Space group R3m (No. 160, hexagonal axes)
Unique sites:
1 K 0.0166 0.5083 0.0000 (multiplicity 9)  4 O 2.63-2.75
2 Ni 0.0000 0.0000 0.1355 (multiplicity 3)  3 O 1.81
3 O 0.1874 0.0937 0.1699 (multiplicity 9)  1 Ni 1.81

Output
Its distance to the lowest polymorph of the same formula is 49 meV/atom. For the total energy, the calculation gives -83.43 eV/cell.